# KCd2InNi GGA-PBE optimized geometry
# Mass density in g/cm3: 5.5
# Energy in eV/atom: -2.36
# Total magnetic moment in μB/cell: 0.0
# Volume in Å³/cell: 132.9
# Calculated formation energy in eV/f.u.: -0.35
data_KCd2InNi
_space_group_name_H-M_alt 'P 4/m m m'
_space_group_IT_number 123
_space_group_name_Hall '-P 4 2'
_cell_length_a 5.164
_cell_length_b 5.164
_cell_length_c 4.982
_cell_angle_alpha 90.00
_cell_angle_beta 90.00
_cell_angle_gamma 90.00
loop_
_atom_site_label
_atom_site_type_symbol
_atom_site_fract_x
_atom_site_fract_y
_atom_site_fract_z
_atom_site_occupancy
K1 K 0.000 0.000 0.000 1
Cd1 Cd 0.000 0.500 0.500 1
In1 In 0.500 0.500 0.000 1
Ni1 Ni 0.500 0.500 0.500 1


# KCd2InO4 GGA-PBE optimized geometry
# Mass density in g/cm3: 5.2
# Energy in eV/atom: -4.42
# ΔE_f (raw) in eV per atom: -1.2284
# Total magnetic moment in μB/cell: 0.0
# Volume in Å³/cell: 280.4
data_KCd2InO4
_space_group_name_H-M_alt 'I -4 2 m'
_space_group_IT_number 121
_space_group_name_Hall 'I -4 2'
_cell_length_a 5.710
_cell_length_b 5.710
_cell_length_c 8.602
_cell_angle_alpha 90.00
_cell_angle_beta 90.00
_cell_angle_gamma 90.00
loop_
_atom_site_label
_atom_site_type_symbol
_atom_site_fract_x
_atom_site_fract_y
_atom_site_fract_z
_atom_site_occupancy
K1 K 0.000 0.000 0.000 1
Cd1 Cd 0.000 0.500 0.250 1
In1 In 0.000 0.000 0.500 1
O1 O 0.211 0.211 0.641 1


# KCdInOs2 GGA-PBE optimized geometry
# Mass density in g/cm3: 8.6
# Energy in eV/atom: -2.53
# Total magnetic moment in μB/cell: 2.4
# Volume in Å³/cell: 124.3
# Calculated formation energy in eV/f.u.: 14.55
data_KCdInOs2
_space_group_name_H-M_alt 'P 4/m m m'
_space_group_IT_number 123
_space_group_name_Hall '-P 4 2'
_cell_length_a 4.795
_cell_length_b 4.795
_cell_length_c 5.408
_cell_angle_alpha 90.00
_cell_angle_beta 90.00
_cell_angle_gamma 90.00
loop_
_atom_site_label
_atom_site_type_symbol
_atom_site_fract_x
_atom_site_fract_y
_atom_site_fract_z
_atom_site_occupancy
K1 K 0.000 0.000 0.000 1
Cd1 Cd 0.500 0.500 0.500 1
In1 In 0.000 0.000 0.500 1
Os1 Os 0.000 0.500 0.000 1


# KCdInP2 GGA-PBE optimized geometry
# Mass density in g/cm3: 3.7
# Energy in eV/atom: -3.36
# Total magnetic moment in μB/cell: 0.0
# Volume in Å³/cell: 589.2
# Calculated formation energy in eV/f.u.: -1.23
data_KCdInP2
_space_group_name_H-M_alt 'C 1 2/m 1'
_space_group_IT_number 12
_cell_length_a 14.890
_cell_length_b 4.256
_cell_length_c 9.588
_cell_angle_alpha 90.00
_cell_angle_beta 104.14
_cell_angle_gamma 90.00
loop_
_space_group_symop_operation_xyz
'x,y,z'
'-x,-y,-z'
'-x,y,-z'
'x,-y,z'
'x+1/2,y+1/2,z'
'-x+1/2,-y+1/2,-z'
'-x+1/2,y+1/2,-z'
'x+1/2,-y+1/2,z'
loop_
_atom_site_label
_atom_site_type_symbol
_atom_site_fract_x
_atom_site_fract_y
_atom_site_fract_z
_atom_site_occupancy
K1 K 0.191 0.000 0.165 1
Cd1 Cd 0.154 0.000 0.551 1
In1 In 0.030 0.500 0.725 1
P1 P 0.124 0.000 0.811 1
P2 P 0.139 0.500 0.398 1


# K2Cd3InPb4 GGA-PBE optimized geometry
# Mass density in g/cm3: 6.8
# Energy in eV/atom: -2.35
# Total magnetic moment in μB/cell: 0.0
# Volume in Å³/cell: 329.9
# Calculated formation energy in eV/f.u.: -1.03
data_K2Cd3InPb4
_space_group_name_H-M_alt 'P -4 m 2'
_space_group_IT_number 115
_cell_length_a 5.002
_cell_length_b 5.002
_cell_length_c 13.184
_cell_angle_alpha 90.00
_cell_angle_beta 90.00
_cell_angle_gamma 90.00
loop_
_space_group_symop_operation_xyz
'x,y,z'
'y,-x,-z'
'-x,-y,z'
'-y,x,-z'
'-x,y,z'
'-y,-x,-z'
'x,-y,z'
'y,x,-z'
loop_
_atom_site_label
_atom_site_type_symbol
_atom_site_fract_x
_atom_site_fract_y
_atom_site_fract_z
_atom_site_occupancy
K1 K 0.000 0.500 0.247 1
Cd1 Cd 0.000 0.000 0.000 1
Cd2 Cd 0.000 0.500 0.641 1
In1 In 0.500 0.500 0.000 1
Pb1 Pb 0.000 0.000 0.500 1
Pb2 Pb 0.000 0.500 0.864 1
Pb3 Pb 0.500 0.500 0.500 1


# K2CdInPb6 GGA-PBE optimized geometry
# Mass density in g/cm3: 6.6
# Energy in eV/atom: -2.73
# Total magnetic moment in μB/cell: 0.0
# Volume in Å³/cell: 2328.1
# Calculated formation energy in eV/f.u.: 0.77
data_K2CdInPb6
_space_group_name_H-M_alt 'R -3 m'
_space_group_IT_number 166
_space_group_name_Hall '-R 3 2"'
_cell_length_a 8.0379
_cell_length_b 8.0379
_cell_length_c 41.6085
_cell_angle_alpha 90.00
_cell_angle_beta 90.00
_cell_angle_gamma 120.00
loop_
_atom_site_label
_atom_site_type_symbol
_atom_site_fract_x
_atom_site_fract_y
_atom_site_fract_z
_atom_site_occupancy
K1 K 0.0000 0.0000 0.1265 1
K2 K 0.0000 0.0000 0.3040 1
Cd1 Cd 0.0000 0.0000 0.4327 1
In1 In 0.0000 0.0000 0.0000 1
In2 In 0.0000 0.0000 0.5000 1
Pb1 Pb 0.0306 0.5153 0.2857 1
Pb2 Pb 0.0723 0.5362 0.8888 1


# KCdIn2Pb GGA-PBE optimized geometry
# Mass density in g/cm3: 6.1
# Energy in eV/atom: -2.35
# Total magnetic moment in μB/cell: 0.0
# Volume in Å³/cell: 321.9
# Calculated formation energy in eV/f.u.: -0.57
data_KCdIn2Pb
_space_group_name_H-M_alt 'I m m 2'
_space_group_IT_number 44
_cell_length_a 4.987
_cell_length_b 5.019
_cell_length_c 12.861
_cell_angle_alpha 90.00
_cell_angle_beta 90.00
_cell_angle_gamma 90.00
loop_
_space_group_symop_operation_xyz
'x,y,z'
'-x,-y,z'
'-x,y,z'
'x,-y,z'
'x+1/2,y+1/2,z+1/2'
'-x+1/2,-y+1/2,z+1/2'
'-x+1/2,y+1/2,z+1/2'
'x+1/2,-y+1/2,z+1/2'
loop_
_atom_site_label
_atom_site_type_symbol
_atom_site_fract_x
_atom_site_fract_y
_atom_site_fract_z
_atom_site_occupancy
K1 K 0.000 0.000 0.000 1
Cd1 Cd 0.000 0.000 0.391 1
In1 In 0.000 0.000 0.612 1
In2 In 0.000 0.500 0.254 1
Pb1 Pb 0.000 0.500 0.751 1


# K2Cd4In3Pb GGA-PBE optimized geometry
# Mass density in g/cm3: 5.8
# Energy in eV/atom: -1.87
# Total magnetic moment in μB/cell: 0.0
# Volume in Å³/cell: 309.6
# Calculated formation energy in eV/f.u.: -0.88
data_K2Cd4In3Pb
_space_group_name_H-M_alt 'P -4 m 2'
_space_group_IT_number 115
_cell_length_a 4.953
_cell_length_b 4.953
_cell_length_c 12.620
_cell_angle_alpha 90.00
_cell_angle_beta 90.00
_cell_angle_gamma 90.00
loop_
_space_group_symop_operation_xyz
'x,y,z'
'y,-x,-z'
'-x,-y,z'
'-y,x,-z'
'-x,y,z'
'-y,-x,-z'
'x,-y,z'
'y,x,-z'
loop_
_atom_site_label
_atom_site_type_symbol
_atom_site_fract_x
_atom_site_fract_y
_atom_site_fract_z
_atom_site_occupancy
K1 K 0.000 0.500 0.245 1
Cd1 Cd 0.000 0.000 0.000 1
Cd2 Cd 0.000 0.500 0.644 1
Cd3 Cd 0.500 0.500 0.000 1
In1 In 0.000 0.500 0.872 1
In2 In 0.500 0.500 0.500 1
Pb1 Pb 0.000 0.000 0.500 1


# KCdInPb GGA-PBE optimized geometry
# Mass density in g/cm3: 6.4
# Energy in eV/atom: -2.14
# Total magnetic moment in μB/cell: 0.0
# Volume in Å³/cell: 489.0
# Calculated formation energy in eV/f.u.: -0.10
data_KCdInPb
_space_group_name_H-M_alt 'F -4 3 m'
_space_group_IT_number 216
_space_group_name_Hall 'F -4 2 3'
_cell_length_a 7.878
_cell_length_b 7.878
_cell_length_c 7.878
_cell_angle_alpha 90.00
_cell_angle_beta 90.00
_cell_angle_gamma 90.00
loop_
_atom_site_label
_atom_site_type_symbol
_atom_site_fract_x
_atom_site_fract_y
_atom_site_fract_z
_atom_site_occupancy
K1 K 0.000 0.000 0.000 1
Cd1 Cd 0.250 0.250 0.750 1
In1 In 0.250 0.250 0.250 1
Pb1 Pb 0.000 0.000 0.500 1


# KCd2InPb GGA-PBE optimized geometry
# Mass density in g/cm3: 6.2
# Energy in eV/atom: -1.96
# Total magnetic moment in μB/cell: 0.0
# Volume in Å³/cell: 311.6
# Calculated formation energy in eV/f.u.: -0.45
data_KCd2InPb
_space_group_name_H-M_alt 'I m m 2'
_space_group_IT_number 44
_cell_length_a 4.849
_cell_length_b 4.874
_cell_length_c 13.187
_cell_angle_alpha 90.00
_cell_angle_beta 90.00
_cell_angle_gamma 90.00
loop_
_space_group_symop_operation_xyz
'x,y,z'
'-x,-y,z'
'-x,y,z'
'x,-y,z'
'x+1/2,y+1/2,z+1/2'
'-x+1/2,-y+1/2,z+1/2'
'-x+1/2,y+1/2,z+1/2'
'x+1/2,-y+1/2,z+1/2'
loop_
_atom_site_label
_atom_site_type_symbol
_atom_site_fract_x
_atom_site_fract_y
_atom_site_fract_z
_atom_site_occupancy
K1 K 0.000 0.000 0.000 1
Cd1 Cd 0.000 0.000 0.612 1
Cd2 Cd 0.000 0.500 0.242 1
In1 In 0.000 0.500 0.742 1
Pb1 Pb 0.000 0.000 0.385 1


> Among the records above, which one has the lowest mass density?

KCdInP2


> Among the records above, which one has the lowest volume?

KCdInOs2


> energy of number 3 (KCdInOs2)?

-2.53 eV/atom


> Look up the total magnetic moment of the fourth one.

0.0 μB/cell